# CsSbF4 | the Alexandria database | PBE | relaxed
data_CsSbF4
_chemical_formula_sum 'Cs4 Sb4 F16'
_cell_length_a 14.9601
_cell_length_b 5.9376
_cell_length_c 6.2776
_cell_angle_alpha 90.00
_cell_angle_beta 109.57
_cell_angle_gamma 90.00
_symmetry_space_group_name_H-M 'C 1 2/c 1'
_symmetry_Int_Tables_number 15
_symmetry_space_group_name_Hall '-C 2yc'
loop_
_atom_site_label
_atom_site_fract_x
_atom_site_fract_y
_atom_site_fract_z
Cs1 0.0000 0.2374 0.2500
Sb1 0.2500 0.2500 0.0000
F1 0.1034 0.3355 0.9168
F2 0.2125 0.0522 0.6744
# Energy relative to the elements, uncorrected ... -14.99 eV per formula unit